First-principles (PBE) data for BeCdPt3 after structural relaxation, as listed in Alexandria via LeMat-Bulk.

Geometry as POSCAR:
```
BeCdPt3
1.0
3.343 -6.320 0.000
3.343 6.320 0.000
0.000 0.000 5.156
Be Cd Pt
2 2 6
Direct
0.099 0.901 0.750
0.901 0.099 0.250
0.306 0.694 0.750
0.694 0.306 0.250
0.140 0.447 0.250
0.447 0.140 0.750
0.500 0.500 0.000
0.500 0.500 0.500
0.553 0.860 0.250
0.860 0.553 0.750
```

## Properties
DFT total energy (eV for the cell shown): -43.0
Calculated formation energy (meV/atom): 251

---

First-principles (PBE) data for Rb2MnCu2I6 after structural relaxation, as listed in Alexandria via LeMat-Bulk.

Geometry as POSCAR:
```
Rb2MnCu2I6
1.0
7.153 -4.102 0.000
7.153 4.102 0.000
-4.398 0.000 7.467
Rb Mn Cu I
2 1 2 6
Direct
0.221 0.221 0.208
0.779 0.779 0.792
0.000 0.000 0.500
0.435 0.435 0.725
0.565 0.565 0.275
0.198 0.719 0.227
0.240 0.240 0.652
0.281 0.802 0.773
0.719 0.198 0.227
0.760 0.760 0.348
0.802 0.281 0.773
```

## Properties
DFT total energy (eV for the cell shown): -35.9
Formation energy from raw total energies (eV/atom): -0.665

---

First-principles (PBE) data for KSn2S4 after structural relaxation, as listed in Alexandria via LeMat-Bulk.

Geometry as POSCAR:
```
KSn2S4
1.0
7.656 0.000 0.000
-3.796 6.661 0.000
-0.219 -4.237 8.008
K Sn S
2 4 8
Direct
0.000 0.000 0.000
0.289 0.545 0.846
0.129 0.760 0.409
0.607 0.187 0.805
0.644 0.762 0.411
0.645 0.276 0.409
0.384 0.209 0.601
0.388 0.753 0.605
0.413 0.823 0.237
0.427 0.336 0.249
0.845 0.209 0.604
0.874 0.724 0.607
0.910 0.817 0.248
0.917 0.334 0.253
```

## Properties
DFT total energy (eV for the cell shown): -58.9
Formation energy from raw total energies (eV/atom): -0.549

---

First-principles (PBE) data for NdPuZnOs after structural relaxation, as listed in Alexandria via LeMat-Bulk.

Geometry as POSCAR:
```
NdPuZnOs
1.0
7.052 0.000 0.000
0.000 7.052 0.000
0.000 0.000 7.052
Nd Pu Zn Os
4 4 4 4
Direct
0.000 0.000 0.000
0.000 0.500 0.500
0.500 0.000 0.500
0.500 0.500 0.000
0.000 0.000 0.500
0.000 0.500 0.000
0.500 0.000 0.000
0.500 0.500 0.500
0.250 0.250 0.250
0.250 0.750 0.750
0.750 0.250 0.750
0.750 0.750 0.250
0.250 0.250 0.750
0.250 0.750 0.250
0.750 0.250 0.250
0.750 0.750 0.750
```

## Properties
DFT total energy (eV for the cell shown): -126.7
Calculated formation energy (meV/atom): -16